A relaxed Ag8GeS6 crystal. Source: Alexandria via LeMat-Bulk, functional PBE-GGA.

total energy = -3.606 eV per atom

Unit cell a=15.272 b=7.583 c=10.714 alpha=90.00 beta=90.00 gamma=90.00
Sites, in units of the cell vectors:
Ag1 0.016 0.017 0.000
Ag2 0.063 0.234 0.224
Ag3 0.066 0.570 0.908
Ag4 0.089 0.609 0.581
Ag5 0.130 0.270 0.758
Ag6 0.227 0.006 0.979
Ag7 0.229 0.880 0.578
Ag8 0.240 0.632 0.795
Ag9 0.260 0.132 0.295
Ag10 0.271 0.380 0.078
Ag11 0.273 0.506 0.479
Ag12 0.370 0.770 0.258
Ag13 0.411 0.109 0.081
Ag14 0.434 0.070 0.408
Ag15 0.437 0.734 0.724
Ag16 0.484 0.517 0.500
Ag17 0.516 0.483 0.000
Ag18 0.563 0.266 0.224
Ag19 0.566 0.930 0.908
Ag20 0.589 0.891 0.581
Ag21 0.630 0.230 0.758
Ag22 0.727 0.494 0.979
Ag23 0.729 0.620 0.578
Ag24 0.740 0.868 0.795
Ag25 0.760 0.368 0.295
Ag26 0.771 0.120 0.078
Ag27 0.773 0.994 0.479
Ag28 0.870 0.730 0.258
Ag29 0.911 0.391 0.081
Ag30 0.934 0.430 0.408
Ag31 0.937 0.766 0.724
Ag32 0.984 0.983 0.500
Ge1 0.124 0.734 0.239
Ge2 0.376 0.234 0.739
Ge3 0.624 0.766 0.239
Ge4 0.876 0.266 0.739
S1 0.005 0.730 0.116
S2 0.112 0.819 0.756
S3 0.121 0.497 0.364
S4 0.123 0.269 0.994
S5 0.127 0.974 0.363
S6 0.242 0.727 0.115
S7 0.258 0.227 0.615
S8 0.373 0.474 0.863
S9 0.377 0.769 0.494
S10 0.379 0.997 0.864
S11 0.388 0.319 0.256
S12 0.495 0.230 0.616
S13 0.505 0.770 0.116
S14 0.612 0.681 0.756
S15 0.621 0.003 0.364
S16 0.623 0.231 0.994
S17 0.627 0.526 0.363
S18 0.742 0.773 0.115
S19 0.758 0.273 0.615
S20 0.873 0.026 0.863
S21 0.877 0.731 0.494
S22 0.879 0.503 0.864
S23 0.888 0.181 0.256
S24 0.995 0.270 0.616

=====

A relaxed Ag2PtAu crystal. Source: Alexandria via LeMat-Bulk, functional PBE-GGA.

formation energy from the elements = 42 meV per atom
Fermi-level density of states = 0.34 states/eV/atom

Unit cell a=5.630 b=5.630 c=5.630 alpha=149.57 beta=128.99 gamma=60.56
Sites, in units of the cell vectors:
Ag1 0.000 0.000 0.000
Ag2 0.744 0.244 0.500
Pt1 0.497 0.497 0.000
Au1 0.253 0.753 0.500

=====

A relaxed ScAg3 crystal. Source: Alexandria via LeMat-Bulk, functional PBE-GGA.

formation energy from the elements = -54 meV per atom
Fermi-level density of states = 0.70 states/eV/atom

Unit cell a=2.966 b=4.890 c=5.282 alpha=90.00 beta=95.02 gamma=90.00
Sites, in units of the cell vectors:
Sc1 0.000 0.000 0.000
Ag1 0.301 0.500 0.746
Ag2 0.500 0.000 0.500
Ag3 0.699 0.500 0.254

=====

A relaxed Dy3Ho2Zn2 crystal. Source: Alexandria via LeMat-Bulk, functional PBE-GGA.

formation energy from the elements = -116 meV per atom
Fermi-level density of states = 1.25 states/eV/atom

Unit cell a=15.287 b=15.287 c=3.512 alpha=90.00 beta=90.00 gamma=166.74
Sites, in units of the cell vectors:
Dy1 0.000 0.000 0.000
Dy2 0.119 0.881 0.000
Dy3 0.881 0.119 0.000
Ho1 0.299 0.701 0.500
Ho2 0.701 0.299 0.500
Zn1 0.442 0.558 0.500
Zn2 0.558 0.442 0.500

=====

In the order shown, the computed calculated volume values come out to 1240.8, 69.7, 76.3, 188.3 Å³ per cell.